No. 1
A plane-wave DFT calculation with meta-GGA SCAN was carried out for a PBEsol-optimized structure of ZnHg3.

extended XYZ file:
```
4
Lattice="-1.4548 -2.4335 1.0870 0.7699 -2.2328 -3.9682 5.5988 0.1860 3.6686" Properties=species:S:1:pos:R:3 pbc="T T T"
Zn 0.3850 -1.1164 -1.9841
Hg 1.7346 -3.1816 -0.5602
Hg -0.7274 -1.2168 0.5435
Hg 3.1793 -1.2987 1.3476
```

Values from the calculation:
**Density of states at the Fermi level**: 1.1 states/eV/f.u.
**Electronic total energy**: -54.43 eV per atom
**Total magnetization**: 0.0000 μB per atom
**Energy above the lowest structure with this stoichiometry**: 0.7 kJ/mol of atoms


No. 2
A plane-wave DFT calculation with meta-GGA SCAN was carried out for a PBEsol-optimized structure of Sb4Se5.

extended XYZ file:
```
9
Lattice="3.5174 0.0000 0.0000 1.7587 7.5694 0.0000 1.7587 0.0000 7.5694" Properties=species:S:1:pos:R:3 pbc="T T T"
Se 0.0000 0.0000 0.0000
Se 1.7587 2.4345 0.0000
Sb 1.7587 5.1450 2.4244
Sb 3.5174 5.1450 5.1450
Se 3.5174 5.1349 0.0000
Sb 1.7587 2.4244 5.1450
Sb 3.5174 2.4244 2.4244
Se 3.5174 0.0000 5.1349
Se 1.7587 0.0000 2.4345
```

Values from the calculation:
**ΔE_f (raw)**: 355 kJ/mol of formula units
**Density of states at the Fermi level**: 6.2 states/eV/f.u.
**Electronic total energy**: -27.31 eV per atom
**Total magnetization**: 0.0000 μB per atom


No. 3
A plane-wave DFT calculation with meta-GGA SCAN was carried out for a PBEsol-optimized structure of SrSbMo.

extended XYZ file:
```
3
Lattice="4.8397 0.0000 0.0000 2.4199 4.1913 0.0000 2.4199 1.3971 3.9516" Properties=species:S:1:pos:R:3 pbc="T T T"
Mo 4.8397 2.7942 1.9758
Sb 7.2596 4.1913 2.9637
Sr 0.0000 0.0000 0.0000
```

Values from the calculation:
**ΔE_f (raw)**: 173 kJ/mol of formula units
**Density of states at the Fermi level**: 3.9 states/eV/f.u.
**Electronic total energy**: -30.88 eV per atom
**Total magnetization**: 0.0908 μB per atom
**Energy above the lowest structure with this stoichiometry**: 17.6 kJ/mol of atoms


No. 4
A plane-wave DFT calculation with meta-GGA SCAN was carried out for a PBEsol-optimized structure of ZrCdAg2.

extended XYZ file:
```
4
Lattice="-0.2179 -1.1705 2.7368 2.8623 -0.8356 -0.1295 2.2697 7.2651 3.2880" Properties=species:S:1:pos:R:3 pbc="T T T"
Ag 1.8743 0.7641 2.1034
Ag 0.0297 0.0951 0.0431
Cd 1.0983 3.5156 1.5911
Zr 3.0466 4.5167 3.8018
```

Values from the calculation:
**Density of states at the Fermi level**: 2.7 states/eV/f.u.
**Electronic total energy**: -31.03 eV per atom
**Total magnetization**: 0.0000 μB per atom


No. 5
A plane-wave DFT calculation with meta-GGA SCAN was carried out for a PBEsol-optimized structure of Ca2CdCo.

extended XYZ file:
```
4
Lattice="3.5742 0.0000 0.0000 1.7871 3.0954 0.0000 1.7871 1.0318 8.9093" Properties=species:S:1:pos:R:3 pbc="T T T"
Ca 5.3613 3.0954 7.0722
Co 0.0000 0.0000 0.0000
Ca 1.7871 1.0318 1.8371
Cd 3.5742 2.0636 4.4546
```

Values from the calculation:
**Density of states at the Fermi level**: 3.2 states/eV/f.u.
**Electronic total energy**: -16.48 eV per atom
**Total magnetization**: 0.3483 μB per atom


No. 6
A plane-wave DFT calculation with meta-GGA SCAN was carried out for a PBEsol-optimized structure of TaCd2Os.

extended XYZ file:
```
4
Lattice="-1.5333 -0.5047 -4.3007 2.9390 -1.0115 -3.3825 -0.0739 -4.1641 -1.9383" Properties=species:S:1:pos:R:3 pbc="T T T"
Os 0.6659 -2.8402 -4.8107
Cd 0.0000 0.0000 0.0000
Cd 0.9989 -4.2603 -7.2161
Ta 0.3330 -1.4201 -2.4054
```

Values from the calculation:
**Density of states at the Fermi level**: 3.6 states/eV/f.u.
**Electronic total energy**: -49.49 eV per atom
**Total magnetization**: 0.0000 μB per atom
**Energy above the lowest structure with this stoichiometry**: 26.2 kJ/mol of atoms


No. 7
A plane-wave DFT calculation with meta-GGA SCAN was carried out for a PBEsol-optimized structure of Sr2YTl.

extended XYZ file:
```
4
Lattice="3.8695 0.0000 0.0000 0.0000 3.8695 0.0000 0.0000 0.0000 9.9785" Properties=species:S:1:pos:R:3 pbc="T T T"
Sr 1.9348 1.9348 3.0936
Y 1.9348 1.9348 6.8812
Tl 0.0000 0.0000 5.2716
Sr 0.0000 0.0000 9.6999
```

Values from the calculation:
**Density of states at the Fermi level**: 4.6 states/eV/f.u.
**Electronic total energy**: -36.44 eV per atom
**Total magnetization**: 0.0178 μB per atom
**Energy above the lowest structure with this stoichiometry**: 0.0 kJ/mol of atoms


No. 8
A plane-wave DFT calculation with meta-GGA SCAN was carried out for a PBEsol-optimized structure of HgP2O2.

extended XYZ file:
```
5
Lattice="3.9986 0.0000 0.0000 0.0000 3.9986 0.0000 0.0000 0.0000 5.0826" Properties=species:S:1:pos:R:3 pbc="T T T"
P 1.9993 1.9993 2.5413
O 0.0000 1.9993 0.0000
O 1.9993 0.0000 0.0000
Hg 0.0000 0.0000 0.0000
P 0.0000 0.0000 2.5413
```

Values from the calculation:
**ΔE_f (raw)**: 507 kJ/mol of formula units
**Density of states at the Fermi level**: 2.6 states/eV/f.u.
**Electronic total energy**: -19.23 eV per atom
**Total magnetization**: 0.0001 μB per atom


No. 9
A plane-wave DFT calculation with meta-GGA SCAN was carried out for a PBEsol-optimized structure of NaCa10P7O28.

extended XYZ file:
```
92
Lattice="10.4094 0.0000 0.0000 5.2047 9.0148 0.0000 5.2047 3.0049 12.3652" Properties=species:S:1:pos:R:3 pbc="T T T"
O 12.7330 9.2386 4.5329
O 11.7833 8.5579 1.9984
Ca 2.1588 1.2012 2.5049
P 13.0065 7.7783 4.9651
O 9.3469 3.9464 1.6876
P 13.0168 4.7746 11.1480
O 8.0929 5.7579 10.4829
Ca 18.5158 10.8915 9.9158
Ca 5.1655 6.5447 2.5049
O 13.2552 7.7876 6.4925
O 13.8096 4.6417 5.9108
Ca 13.6110 10.3364 6.4446
O 9.4640 2.1407 4.2989
O 14.2586 3.9238 10.7686
O 7.5158 5.9257 1.9984
O 13.2901 9.7533 12.0933
Na 15.6141 9.0148 11.6786
O 10.3967 7.7133 7.6004
Ca 5.3480 0.6097 0.2605
O 8.8934 9.5572 8.1799
O 6.6725 3.0282 2.9587
O 11.4771 9.9513 7.8732
O 11.7858 4.1297 10.4829
Ca 12.7133 4.8863 3.7316
O 7.5244 3.7493 5.9108
Ca 10.4094 6.0099 6.1522
P 7.5793 7.3748 4.9651
O 12.0437 2.3832 4.5329
O 8.0953 2.9234 8.1799
O 5.2047 3.0049 0.8986
Ca 15.7885 5.5635 9.9158
O 9.1589 3.3962 10.7155
O 14.2329 7.1257 4.2989
O 13.2981 6.2337 10.7155
Ca 10.2305 8.5669 3.7316
O 11.8909 5.1691 7.6004
O 10.5330 4.3779 4.5861
O 11.9291 3.5460 1.9984
P 10.1996 9.2507 7.3834
P 7.9052 7.2090 1.2006
Ca 10.4489 3.5401 8.6879
Ca 8.2844 4.5764 3.7316
P 5.2047 3.0049 2.4476
O 14.1462 9.0387 9.1419
O 11.7610 6.9329 4.5861
Ca 12.5285 7.2789 8.6879
P 10.6230 3.2417 1.2006
P 10.6424 2.8765 4.9651
Ca 17.7602 10.0887 6.4446
O 13.2889 3.1145 7.8732
Ca 5.2047 3.0049 12.3350
Ca 7.2074 4.3266 0.2605
O 8.9405 5.1472 7.6004
Ca 15.4711 6.6192 6.4446
O 4.4506 4.2644 2.9587
P 15.6141 9.0148 8.6316
O 16.3688 10.2741 9.1419
P 7.7076 4.2078 7.3834
P 8.0359 4.3694 11.1480
O 12.7276 6.1215 1.6876
O 14.1314 8.1739 1.4178
O 16.1365 6.6329 12.0933
O 7.4469 7.5855 6.4925
O 7.5313 8.7632 4.2989
O 2.9643 1.5734 0.3103
O 9.8942 9.6386 5.9108
P 10.1755 8.8856 11.1480
Ca 12.5380 10.5894 9.9158
O 5.0852 5.6609 0.3103
O 7.5646 1.7804 0.3103
O 6.4622 4.9638 7.8732
P 13.3210 4.5711 7.3834
Na 5.2047 3.0049 5.4821
O 17.4157 10.6582 12.0933
O 6.6743 8.1512 1.4178
P 12.6999 7.5790 1.2006
O 8.7712 8.3996 10.7155
O 9.1536 7.9617 1.6876
Ca 8.2508 7.2106 8.6879
O 11.3494 8.1420 10.4829
O 16.3274 7.7316 9.1419
O 10.2914 10.3864 10.7686
Ca 8.2898 1.2690 2.5049
Ca 3.0587 4.0785 0.2605
O 10.5261 2.6564 6.4925
O 6.6782 3.7194 10.7686
O 15.6141 9.0148 7.0824
O 8.9342 6.7188 4.5861
O 4.4910 1.7222 2.9587
O 10.4225 1.7045 1.4178
O 6.4515 6.4078 4.5329
O 14.2394 5.5491 8.1799
```

Values from the calculation:
**ΔE_f (raw)**: -14025 kJ/mol of formula units
**Density of states at the Fermi level**: 0.0 states/eV/f.u.
**Electronic total energy**: -10.73 eV per atom
**Total magnetization**: 0.0000 μB per atom


No. 10
A plane-wave DFT calculation with meta-GGA SCAN was carried out for a PBEsol-optimized structure of KSc2Se.

extended XYZ file:
```
4
Lattice="-2.9135 -2.1518 -0.6382 -0.4922 -0.6621 4.4793 -2.5528 6.0488 0.6136" Properties=species:S:1:pos:R:3 pbc="T T T"
Se -1.7029 -1.4070 1.9206
K -1.5225 2.6933 2.5465
Sc -3.9637 3.5266 0.0858
Sc -1.5026 0.3704 -0.1104
```

Values from the calculation:
**ΔE_f (raw)**: -89 kJ/mol of formula units
**Density of states at the Fermi level**: 3.6 states/eV/f.u.
**Electronic total energy**: -14.45 eV per atom
**Total magnetization**: 0.0158 μB per atom


No. 11
A plane-wave DFT calculation with meta-GGA SCAN was carried out for a PBEsol-optimized structure of CsKCd2I.

extended XYZ file:
```
5
Lattice="6.1869 0.0000 0.0000 0.0000 6.9279 0.0000 0.0000 0.0000 6.9279" Properties=species:S:1:pos:R:3 pbc="T T T"
I 0.0000 0.0000 0.0000
Cd 0.0000 0.0000 3.4640
Cd 0.0000 3.4640 0.0000
K 3.0934 0.0000 0.0000
Cs 3.0934 3.4640 3.4640
```

Values from the calculation:
**ΔE_f (raw)**: -84 kJ/mol of formula units
**Density of states at the Fermi level**: 2.3 states/eV/f.u.
**Electronic total energy**: -28.92 eV per atom
**Total magnetization**: 0.0000 μB per atom


No. 12
A plane-wave DFT calculation with meta-GGA SCAN was carried out for a PBEsol-optimized structure of K2HgCl4.

extended XYZ file:
```
28
Lattice="7.6678 0.0000 0.0000 0.0000 8.7654 0.0000 0.0000 0.0000 11.7188" Properties=species:S:1:pos:R:3 pbc="T T T"
Cl 2.8872 6.5736 8.1382
K 0.6936 4.3827 7.9648
K 4.5280 0.0000 9.6094
Cl 2.1102 0.0000 5.1726
Cl 6.7211 6.5736 9.4400
Cl 5.5561 4.3827 6.5488
Cl 4.7806 6.5736 3.5806
Cl 2.1117 4.3827 5.1700
Cl 1.7222 4.3827 11.0294
Cl 5.5576 0.0000 6.5461
Cl 6.7211 2.1918 9.4400
K 6.9737 0.0000 3.7500
Cl 5.9441 0.0000 0.6867
Hg 0.0000 6.5743 0.0000
Cl 0.9467 2.1918 2.2788
Hg 3.8339 2.1912 5.8594
K 6.9742 4.3827 3.7540
Cl 5.9457 4.3827 0.6893
Cl 4.7806 2.1918 3.5806
Cl 1.7237 0.0000 11.0320
K 4.5276 4.3827 9.6134
Cl 0.9467 6.5736 2.2788
Hg 0.0000 2.1912 0.0000
Hg 3.8339 6.5743 5.8594
K 0.6941 0.0000 7.9688
K 3.1403 4.3827 2.1054
Cl 2.8872 2.1918 8.1382
K 3.1398 0.0000 2.1094
```

Values from the calculation:
**ΔE_f (raw)**: -1042 kJ/mol of formula units
**Density of states at the Fermi level**: 0.0 states/eV/f.u.
**Electronic total energy**: -18.22 eV per atom
**Total magnetization**: 0.0000 μB per atom


No. 13
A plane-wave DFT calculation with meta-GGA SCAN was carried out for a PBEsol-optimized structure of Pd3PtS.

extended XYZ file:
```
5
Lattice="-2.3084 2.7667 2.4307 1.0298 -2.2694 3.5611 3.5359 2.4672 0.5497" Properties=species:S:1:pos:R:3 pbc="T T T"
Pd -1.1542 1.3833 1.2154
Pd 0.5149 -1.1347 1.7805
Pd 1.7679 1.2336 0.2749
Pt 1.1286 1.4823 3.2708
S 0.0000 0.0000 0.0000
```

Values from the calculation:
**ΔE_f (raw)**: 109 kJ/mol of formula units
**Density of states at the Fermi level**: 5.8 states/eV/f.u.
**Electronic total energy**: -35.40 eV per atom
**Total magnetization**: 0.0001 μB per atom


No. 14
A plane-wave DFT calculation with meta-GGA SCAN was carried out for a PBEsol-optimized structure of Sr2RePb.

extended XYZ file:
```
4
Lattice="3.4412 0.0000 0.0000 1.7206 2.9802 0.0000 1.7206 0.9934 10.5387" Properties=species:S:1:pos:R:3 pbc="T T T"
Re 0.0000 0.0000 0.0000
Sr 5.1618 2.9802 8.1762
Pb 3.4412 1.9868 5.2693
Sr 1.7206 0.9934 2.3625
```

Values from the calculation:
**Density of states at the Fermi level**: 2.1 states/eV/f.u.
**Electronic total energy**: -47.09 eV per atom
**Total magnetization**: 0.2779 μB per atom


No. 15
A plane-wave DFT calculation with meta-GGA SCAN was carried out for a PBEsol-optimized structure of CuH2Pt.

extended XYZ file:
```
8
Lattice="-1.4643 -2.6938 -2.5240 -1.1639 -2.2399 3.0658 -2.5305 4.5193 -0.2310" Properties=species:S:1:pos:R:3 pbc="T T T"
Pt -2.5043 -0.0937 1.5529
Pt 0.0000 0.0000 0.0000
H -2.2279 2.7699 -0.1016
Cu -1.3141 -2.4669 0.2709
Cu -2.6545 -0.3207 -1.2421
H -2.3485 -2.0638 -1.1133
H -3.5390 0.3088 0.1614
H -2.2021 -1.8438 1.6751
```

Values from the calculation:
**Density of states at the Fermi level**: 0.8 states/eV/f.u.
**Electronic total energy**: -23.00 eV per atom
**Total magnetization**: 0.0000 μB per atom


No. 16
A plane-wave DFT calculation with meta-GGA SCAN was carried out for a PBEsol-optimized structure of CuCBr3.

extended XYZ file:
```
5
Lattice="4.5742 0.0000 0.0000 0.0000 4.5742 0.0000 0.0000 0.0000 4.5742" Properties=species:S:1:pos:R:3 pbc="T T T"
Cu 2.2871 2.2871 2.2871
C 0.0000 0.0000 0.0000
Br 2.2871 0.0000 0.0000
Br 0.0000 2.2871 0.0000
Br 0.0000 0.0000 2.2871
```

Values from the calculation:
**ΔE_f (raw)**: 591 kJ/mol of formula units
**Density of states at the Fermi level**: 5.3 states/eV/f.u.
**Electronic total energy**: -15.51 eV per atom
**Total magnetization**: 0.0000 μB per atom


No. 17
A plane-wave DFT calculation with meta-GGA SCAN was carried out for a PBEsol-optimized structure of HCl.

extended XYZ file:
```
4
Lattice="-2.7696 -1.7615 -2.0511 2.7539 0.3765 -2.6935 1.8485 -4.3921 1.2760" Properties=species:S:1:pos:R:3 pbc="T T T"
H 0.5828 -1.4495 0.1868
Cl 0.0145 -1.1284 -3.6316
H 1.4928 -4.9045 -3.4878
Cl 0.9471 -2.5786 -0.4384
```

Values from the calculation:
**Density of states at the Fermi level**: 0.0 states/eV/f.u.
**Electronic total energy**: -6.25 eV per atom
**Total magnetization**: 0.0000 μB per atom


No. 18
A plane-wave DFT calculation with meta-GGA SCAN was carried out for a PBEsol-optimized structure of ScTcC2N.

extended XYZ file:
```
5
Lattice="3.7024 0.0000 0.0000 0.0000 3.7024 0.0000 0.0000 0.0000 3.8275" Properties=species:S:1:pos:R:3 pbc="T T T"
C 1.8512 0.0000 0.0000
C 0.0000 1.8512 0.0000
Sc 0.0000 0.0000 1.9138
N 0.0000 0.0000 0.0000
Tc 1.8512 1.8512 1.9138
```

Values from the calculation:
**ΔE_f (raw)**: 931 kJ/mol of formula units
**Density of states at the Fermi level**: 2.4 states/eV/f.u.
**Electronic total energy**: -13.83 eV per atom
**Total magnetization**: 0.1939 μB per atom


No. 19
A plane-wave DFT calculation with meta-GGA SCAN was carried out for a PBEsol-optimized structure of ZrTeOsN2.

extended XYZ file:
```
5
Lattice="-0.2530 0.1265 -4.0065 -2.7618 -2.9150 0.0823 -4.3186 4.1029 0.4022" Properties=species:S:1:pos:R:3 pbc="T T T"
Zr 0.0000 0.0000 0.0000
N -0.1265 0.0633 -2.0033
Os -3.6667 0.6572 -1.7610
N -1.3809 -1.4575 0.0412
Te -2.1593 2.0515 0.2011
```

Values from the calculation:
**ΔE_f (raw)**: 541 kJ/mol of formula units
**Density of states at the Fermi level**: 2.6 states/eV/f.u.
**Electronic total energy**: -30.56 eV per atom
**Total magnetization**: 0.9824 μB per atom
**Energy above the lowest structure with this stoichiometry**: 46.2 kJ/mol of atoms


No. 20
A plane-wave DFT calculation with meta-GGA SCAN was carried out for a PBEsol-optimized structure of Sr2ReRh.

extended XYZ file:
```
4
Lattice="-2.9020 -0.3106 -0.3861 0.7700 -5.1601 -1.6370 -0.8495 0.7950 5.7460" Properties=species:S:1:pos:R:3 pbc="T T T"
Sr -1.4907 -2.3378 1.8614
Re -1.0660 -2.7353 -1.0116
Sr 0.0000 0.0000 0.0000
Rh -0.4247 0.3975 2.8730
```

Values from the calculation:
**Density of states at the Fermi level**: 3.5 states/eV/f.u.
**Electronic total energy**: -36.30 eV per atom
**Total magnetization**: 0.0000 μB per atom